[1]
# TmInPd | OQMD | GGA-PBE | optimized geometry
# **Crystal system**: hexagonal
# **Magnetic moment**: 0.04 μB/f.u.
# **Total DFT energy (no corrections)**: -4.51 eV/atom
data_TmInPd
_chemical_formula_sum 'Tm3 In3 Pd3'
_space_group_name_H-M_alt 'P -6 2 m'
_space_group_IT_number 189
_space_group_name_Hall 'P -6 -2'
_cell_length_a 8.1350
_cell_length_b 8.1350
_cell_length_c 3.3173
_cell_angle_alpha 90.00
_cell_angle_beta 90.00
_cell_angle_gamma 120.00
loop_
_atom_site_label
_atom_site_type_symbol
_atom_site_fract_x
_atom_site_fract_y
_atom_site_fract_z
Tm1 Tm 0.0000 0.2959 0.0000
In1 In 0.0000 0.0000 0.5000
In2 In 0.3333 0.6667 0.0000
Pd1 Pd 0.0000 0.6311 0.5000

***

[2]
# UInPd | OQMD | GGA-PBE | optimized geometry
# **Crystal system**: hexagonal
# **Magnetic moment**: 3.66 μB/f.u.
# **Total DFT energy (no corrections)**: -5.89 eV/atom
data_UInPd
_chemical_formula_sum 'U3 In3 Pd3'
_space_group_name_H-M_alt 'P -6 2 m'
_space_group_IT_number 189
_space_group_name_Hall 'P -6 -2'
_cell_length_a 8.6543
_cell_length_b 8.6543
_cell_length_c 3.0217
_cell_angle_alpha 90.00
_cell_angle_beta 90.00
_cell_angle_gamma 120.00
loop_
_atom_site_label
_atom_site_type_symbol
_atom_site_fract_x
_atom_site_fract_y
_atom_site_fract_z
U1 U 0.0000 0.6473 0.0000
In1 In 0.0000 0.3102 0.0000
Pd1 Pd 0.0000 0.0000 0.0000
Pd2 Pd 0.3333 0.6667 0.0000

***

[3]
# UInPd | OQMD | GGA-PBE | optimized geometry
# **Crystal system**: hexagonal
# **Magnetic moment**: 1.99 μB/f.u.
# **Total DFT energy (no corrections)**: -5.90 eV/atom
data_UInPd
_chemical_formula_sum 'U3 In3 Pd3'
_space_group_name_H-M_alt 'P -6 2 m'
_space_group_IT_number 189
_space_group_name_Hall 'P -6 -2'
_cell_length_a 7.2981
_cell_length_b 7.2981
_cell_length_c 4.8604
_cell_angle_alpha 90.00
_cell_angle_beta 90.00
_cell_angle_gamma 120.00
loop_
_atom_site_label
_atom_site_type_symbol
_atom_site_fract_x
_atom_site_fract_y
_atom_site_fract_z
U1 U 0.0000 0.2088 0.0000
In1 In 0.0000 0.0000 0.5000
In2 In 0.3333 0.6667 0.0000
Pd1 Pd 0.0000 0.6277 0.5000

***

[4]
# UInPd | OQMD | GGA-PBE | optimized geometry
# **Crystal system**: cubic
# **Magnetic moment**: 2.69 μB/f.u.
# **Total DFT energy (no corrections)**: -5.78 eV/atom
data_UInPd
_chemical_formula_sum 'U4 In4 Pd4'
_space_group_name_H-M_alt 'F -4 3 m'
_space_group_IT_number 216
_space_group_name_Hall 'F -4 2 3'
_cell_length_a 6.804
_cell_length_b 6.804
_cell_length_c 6.804
_cell_angle_alpha 90.00
_cell_angle_beta 90.00
_cell_angle_gamma 90.00
loop_
_atom_site_label
_atom_site_type_symbol
_atom_site_fract_x
_atom_site_fract_y
_atom_site_fract_z
U1 U 0.000 0.000 0.000
In1 In 0.250 0.250 0.750
Pd1 Pd 0.250 0.250 0.250